1.
ReNiBP: optimized geometry, PBE.

Cell: 5.141 3.172 7.199 Å, 90.00 124.79 90.00°
Atoms (fractional coordinates):
Re (0.626, 0.000, 0.525)
Re (0.626, 0.500, 0.025)
B (0.709, 0.000, 0.855)
B (0.709, 0.500, 0.355)
P (0.226, 0.000, 0.778)
P (0.226, 0.500, 0.278)
Ni (0.020, 0.000, 0.408)
Ni (0.020, 0.500, 0.908)

- formation energy (kJ/mol of atoms) = -10
- relative energy among the computed polymorphs (meV per atom) = 65.7

2.
TiPdAu: optimized geometry, PBE.

Cell: 4.202 4.827 5.498 Å, 90.00 90.00 115.81°
Atoms (fractional coordinates):
Ti (0.500, 0.000, 0.500)
Ti (0.500, 0.000, 0.000)
Pd (0.144, 0.288, 0.250)
Pd (0.856, 0.712, 0.750)
Au (0.165, 0.329, 0.750)
Au (0.835, 0.671, 0.250)

- formation energy (kJ/mol of atoms) = -35

3.
ReTeCI2: optimized geometry, PBE.

Cell: 5.586 5.586 5.091 Å, 90.00 90.00 90.00°
Each line ends with the local moment (μB).
Atoms (fractional coordinates):
I (0.000, 0.500, 0.000)  0.01
I (0.500, 0.000, 0.000)  0.01
Re (0.000, 0.000, 0.000)  0.68
C (0.500, 0.500, 0.500)  0.96
Te (0.000, 0.000, 0.500)  -0.05

- formation energy (no corrections) (meV/atom) = 1962
- relative energy among the computed polymorphs (meV per atom) = 0.0